Compound: Tm6CoIr5
Source: the Alexandria database
Functional: PBE-GGA
Structure: relaxed

Properties
Spin magnetization ... 1.14 Bohr magnetons per cell
Calculated density ... 14.69 g/cm³
Energy of formation ... -78.2 kJ/mol of atoms

The structure in CIF format:
```
data_Tm6CoIr5
_chemical_formula_sum 'Tm12 Co2 Ir10'
_cell_length_a 4.775
_cell_length_b 14.320
_cell_length_c 6.722
_cell_angle_alpha 90.00
_cell_angle_beta 90.00
_cell_angle_gamma 90.00
_symmetry_space_group_name_H-M 'C m m m'
_symmetry_Int_Tables_number 65
_symmetry_space_group_name_Hall '-C 2 2'
loop_
_atom_site_label
_atom_site_type_symbol
_atom_site_fract_x
_atom_site_fract_y
_atom_site_fract_z
Tm1 Tm 0.000 0.000 0.248
Tm2 Tm 0.000 0.334 0.249
Co1 Co 0.000 0.500 0.000
Ir1 Ir 0.000 0.165 0.000
Ir2 Ir 0.000 0.167 0.500
Ir3 Ir 0.000 0.500 0.500
```